[1]
This record from Alexandria via LeMat-Bulk describes a geometry-optimized TlCrOs2 structure. The functional is PBE.

Cell: 2.8610 2.8610 7.6863 Å, 90.00 90.00 90.00°
Closest atoms and distances in Å follow each position.
Space group P4/mmm (No. 123)
Inequivalent atoms, fractional coordinates:
Tl: 0.0000 0.0000 0.0000 x1  4 Tl 2.86, 8 Os 3.03
Cr: 0.0000 0.0000 0.5000 x1  8 Os 2.57, 4 Cr 2.86
Os: 0.5000 0.5000 0.2937 x2  4 Cr 2.57, 4 Os 2.86

Output
E_form in eV per atom: 0.60

---

[2]
This record from Alexandria via LeMat-Bulk describes a geometry-optimized Tl2CrOs structure. The functional is PBE.

Cell: 3.3670 3.3670 26.3806 Å, 90.00 90.00 120.00°
Closest atoms and distances in Å follow each position.
Space group R3m (No. 160, hexagonal axes)
Inequivalent atoms, fractional coordinates:
Tl: 0.0000 0.0000 0.0000 x3  3 Os 3.13, 9 Tl 3.37
Tl: 0.0000 0.0000 0.2290 x3  3 Cr 3.07, 9 Tl 3.37
Cr: 0.0000 0.0000 0.4721 x3  3 Os 2.29
Os: 0.0000 0.0000 0.7595 x3  3 Cr 2.29

Output
E_form in eV per atom: 0.63

---

[3]
This record from Alexandria via LeMat-Bulk describes a geometry-optimized TlCrOs2 structure. The functional is PBE.

Cell: 2.8374 4.6265 9.7395 Å, 90.00 90.00 90.00°
Closest atoms and distances in Å follow each position.
Space group Immm (No. 71)
Inequivalent atoms, fractional coordinates:
Tl: 0.0000 0.0000 0.0000 x2  4 Cr 2.71, 2 Tl 2.84
Cr: 0.0000 0.0000 0.5000 x2  4 Os 2.55, 4 Tl 2.71, 2 Cr 2.84
Os: 0.0000 0.5000 0.2175 x4  2 Cr 2.55, 6 Os 2.79-2.84

Output
E_form in eV per atom: 0.70

---

[4]
This record from Alexandria via LeMat-Bulk describes a geometry-optimized TmCrOs structure. The functional is PBE.

Cell: 5.0500 4.1627 5.3425 Å, 90.00 101.16 90.00°
Closest atoms and distances in Å follow each position.
Space group P2_1/m (No. 11)
Inequivalent atoms, fractional coordinates:
Tm: 0.2407 0.2500 0.4371 x2  2 Cr 2.72-2.83
Cr: 0.0915 0.2500 0.9205 x2  3 Os 2.46-2.53, 2 Cr 2.49, 1 Tm 2.72
Os: 0.3519 0.7500 0.9244 x2  3 Cr 2.46-2.53, 2 Os 2.60

Output
E_form in eV per atom: 0.11

---

[5]
This record from Alexandria via LeMat-Bulk describes a geometry-optimized TmCrOs structure. The functional is PBE.

Cell: 5.0878 5.5094 7.2311 Å, 90.00 90.00 90.00°
Closest atoms and distances in Å follow each position.
Space group Imma (No. 74)
Inequivalent atoms, fractional coordinates:
Tm: 0.0000 0.2500 0.1257 x4  6 Cr 3.00-3.16, 6 Os 3.03-3.04, 4 Tm 3.11-3.30
Cr: 0.2500 0.2500 0.7500 x4  2 Cr 2.54, 4 Os 2.60
Os: 0.0000 0.0000 0.5000 x4  4 Cr 2.60, 2 Os 2.75

Output
E_form in eV per atom: -0.18

---

[6]
This record from Alexandria via LeMat-Bulk describes a geometry-optimized TmZrCrOs structure. The functional is PBE.

Cell: 6.7063 6.7063 6.7063 Å, 90.00 90.00 90.00°
Closest atoms and distances in Å follow each position.
Space group F-43m (No. 216)
Inequivalent atoms, fractional coordinates:
Tm: 0.0000 0.0000 0.0000 x4  4 Cr 2.90, 4 Os 2.90
Zr: 0.0000 0.0000 0.5000 x4  4 Cr 2.90, 4 Os 2.90
Cr: 0.2500 0.2500 0.2500 x4  4 Zr 2.90, 4 Tm 2.90
Os: 0.2500 0.2500 0.7500 x4  4 Zr 2.90, 4 Tm 2.90

Output
E_form in eV per atom: -0.07

---

[7]
This record from Alexandria via LeMat-Bulk describes a geometry-optimized U2CrOs3 structure. The functional is PBE.

Cell: 5.5405 5.5405 7.6969 Å, 90.00 90.00 120.00°
Closest atoms and distances in Å follow each position.
Space group P6_3/mmc (No. 194)
Inequivalent atoms, fractional coordinates:
U: 0.3333 0.6667 0.0785 x4  1 U 2.64
Cr: 0.0000 0.0000 0.0000 x2  6 Os 2.51
Os: 0.1680 0.3359 0.7500 x6  2 Cr 2.51, 4 Os 2.75-2.79

Output
E_form in eV per atom: -0.15

---

[8]
This record from Alexandria via LeMat-Bulk describes a geometry-optimized UCr4Os structure. The functional is PBE.

Cell: 6.9743 6.9743 6.9743 Å, 90.00 90.00 90.00°
Closest atoms and distances in Å follow each position.
Space group F-43m (No. 216)
Inequivalent atoms, fractional coordinates:
U: 0.0000 0.0000 0.0000 x4  12 Cr 2.89, 4 Os 3.02
Cr: 0.1246 0.1246 0.3754 x16  6 Cr 2.46-2.47
Os: 0.2500 0.2500 0.7500 x4  12 Cr 2.89, 4 U 3.02

Output
E_form in eV per atom: 0.33

---

[9]
This record from Alexandria via LeMat-Bulk describes a geometry-optimized UCr2Os structure. The functional is PBE.

Cell: 2.7630 2.7630 26.9132 Å, 90.00 90.00 120.00°
Closest atoms and distances in Å follow each position.
Space group R-3m (No. 166, hexagonal axes)
Inequivalent atoms, fractional coordinates:
U: 0.0000 0.0000 0.0000 x3  2 Cr 2.44
Cr: 0.0000 0.0000 0.0907 x6  1 U 2.44, 3 Os 2.59
Os: 0.0000 0.0000 0.5000 x3  6 Cr 2.59, 6 Os 2.76

Output
E_form in eV per atom: 0.54

---

[10]
This record from Alexandria via LeMat-Bulk describes a geometry-optimized UVCrOs structure. The functional is PBE.

Cell: 6.2479 6.2479 6.2479 Å, 90.00 90.00 90.00°
Closest atoms and distances in Å follow each position.
Space group F-43m (No. 216)
Inequivalent atoms, fractional coordinates:
U: 0.0000 0.0000 0.0000 x4  4 Cr 2.71, 4 V 2.71
V: 0.2500 0.2500 0.2500 x4  4 Os 2.71, 4 U 2.71
Cr: 0.2500 0.2500 0.7500 x4  4 Os 2.71, 4 U 2.71
Os: 0.0000 0.0000 0.5000 x4  4 Cr 2.71, 4 V 2.71

Output
E_form in eV per atom: 0.19

---

[11]
This record from Alexandria via LeMat-Bulk describes a geometry-optimized V4Cr3Os structure. The functional is PBE.

Cell: 2.9363 4.1957 8.2928 Å, 90.00 90.00 90.00°
Closest atoms and distances in Å follow each position.
Space group Pmmm (No. 47)
Inequivalent atoms, fractional coordinates:
V: 0.0000 0.0000 0.0000 x1  8 Cr 2.53-2.56
V: 0.0000 0.0000 0.5000 x1  4 Cr 2.55, 4 Os 2.56
V: 0.0000 0.5000 0.2423 x2  6 Cr 2.49-2.56, 2 Os 2.59
Cr: 0.5000 0.0000 0.2483 x2  8 V 2.53-2.56
Cr: 0.5000 0.5000 0.0000 x1  8 V 2.49-2.56
Os: 0.5000 0.5000 0.5000 x1  8 V 2.56-2.59

Output
E_form in eV per atom: -0.21

---

[12]
This record from Alexandria via LeMat-Bulk describes a geometry-optimized V2CrOs4 structure. The functional is PBE.

Cell: 4.4069 4.4069 12.2034 Å, 90.00 90.00 90.00°
Closest atoms and distances in Å follow each position.
Space group I4/mmm (No. 139)
Inequivalent atoms, fractional coordinates:
V: 0.0000 0.0000 0.1220 x4  1 Os 2.21
Cr: 0.0000 0.0000 0.5000 x2  6 Os 2.20-2.40
Os: 0.0000 0.0000 0.3030 x4  1 V 2.21, 1 Cr 2.40
Os: 0.0000 0.5000 0.0000 x4  2 Cr 2.20

Output
E_form in eV per atom: 1.39